No. 1
Material: HoTiIn2
Method: DFT, PBE
State: optimized geometry

The structure belongs to space group P4/mmm (No. 123); the cell edges are 3.655, 3.655 and 6.835 Å and the angles 90.00°, 90.00° and 90.00°. Symmetry generates all atoms from Ho at (0.000, 0.000, 0.000), Ti at (0.000, 0.000, 0.500) and In at (0.500, 0.500, 0.279).

The energy of formation from the pure elements is -0.207 eV/atom. The density of states at the Fermi level comes out at 2.37 states/eV/cell.

No. 2
Material: HoTiIn2
Method: DFT, PBE
State: optimized geometry

The structure belongs to space group P4/mmm (No. 123); the cell edges are 4.513, 4.513 and 4.482 Å and the angles 90.00°, 90.00° and 90.00°. Symmetry generates all atoms from Ho at (0.000, 0.000, 0.000), Ti at (0.500, 0.500, 0.000) and In at (0.000, 0.500, 0.500).

The energy of formation from the pure elements is -0.231 eV/atom. The density of states at the Fermi level comes out at 2.37 states/eV/cell.

No. 3
Material: HoTiIn
Method: DFT, PBE
State: optimized geometry

The structure belongs to space group P4/nmm (No. 129, origin choice 2); the cell edges are 4.260, 4.260 and 8.057 Å and the angles 90.00°, 90.00° and 90.00°. Symmetry generates all atoms from Ho at (0.250, 0.250, 0.160), Ti at (0.250, 0.750, 0.500) and In at (0.250, 0.250, 0.752).

The energy of formation from the pure elements is -0.190 eV/atom. The density of states at the Fermi level comes out at 7.39 states/eV/cell.

No. 4
Material: HoTiIn
Method: DFT, PBE
State: optimized geometry

The structure belongs to space group I4mm (No. 107); the cell edges are 3.057, 3.057 and 16.684 Å and the angles 90.00°, 90.00° and 90.00°. Symmetry generates all atoms from Ho at (0.000, 0.000, 0.000), Ti at (0.000, 0.000, 0.820) and In at (0.000, 0.000, 0.651).

The energy of formation from the pure elements is 0.551 eV/atom. The density of states at the Fermi level comes out at 5.93 states/eV/cell.

No. 5
Material: HoTi2In
Method: DFT, PBE
State: optimized geometry

The structure belongs to space group P4/mmm (No. 123); the cell edges are 4.408, 4.408 and 4.328 Å and the angles 90.00°, 90.00° and 90.00°. Symmetry generates all atoms from Ho at (0.000, 0.000, 0.000), Ti at (0.000, 0.500, 0.500) and In at (0.500, 0.500, 0.000).

The energy of formation from the pure elements is -0.026 eV/atom. The density of states at the Fermi level comes out at 4.46 states/eV/cell.

No. 6
Material: HoTiIn
Method: DFT, PBE
State: optimized geometry

The structure belongs to space group P3m1 (No. 156); the cell edges are 4.9571, 4.9571 and 3.3981 Å and the angles 90.00°, 90.00° and 120.00°. Symmetry generates all atoms from Ho at (0.0000, 0.0000, 0.0000), Ti at (0.3333, 0.6667, 0.5006) and In at (0.6667, 0.3333, 0.4991).

The energy of formation from the pure elements is -0.029 eV/atom. The density of states at the Fermi level comes out at 4.84 states/eV/cell.

- Number 3 is which compound?
  HoTiIn